Entry 1:
PrGdSi4Ni2 | PBE | relaxed

a = 4.040 Å, b = 4.106 Å, c = 16.387 Å
α = 90.00°, β = 90.00°, γ = 90.00°
Element x y z (fractional)
Pr: 0.000 0.000 0.000
Pr: 0.000 0.500 0.500
Gd: 0.500 0.000 0.212
Gd: 0.500 0.500 0.712
Si: 0.000 0.000 0.354
Si: 0.000 0.000 0.647
Si: 0.000 0.500 0.147
Si: 0.000 0.500 0.854
Si: 0.500 0.000 0.566
Si: 0.500 0.000 0.854
Si: 0.500 0.500 0.066
Si: 0.500 0.500 0.354
Ni: 0.000 0.000 0.785
Ni: 0.000 0.500 0.285
Ni: 0.500 0.000 0.424
Ni: 0.500 0.500 0.924

## Properties
Symmetry: Amm2
Volume in Å³ per cell: 271.8
Total DFT energy (no corrections) in eV/cell: -97.72
Total magnetic moment in Bohr magnetons per cell: 0.00

---

Entry 2:
NpTaNi | PBE | relaxed

a = 6.114 Å, b = 6.114 Å, c = 6.114 Å
α = 90.00°, β = 90.00°, γ = 90.00°
Element x y z (fractional)
Np: 0.000 0.000 0.000
Np: 0.000 0.500 0.500
Np: 0.500 0.000 0.500
Np: 0.500 0.500 0.000
Ta: 0.250 0.250 0.250
Ta: 0.250 0.750 0.750
Ta: 0.750 0.250 0.750
Ta: 0.750 0.750 0.250
Ni: 0.250 0.250 0.750
Ni: 0.250 0.750 0.250
Ni: 0.750 0.250 0.250
Ni: 0.750 0.750 0.750

## Properties
Energy relative to the elements in eV/atom: 1.079
Symmetry: F-43m
Volume in Å³ per cell: 228.5
Total magnetic moment in Bohr magnetons per cell: 11.27

---

Entry 3:
Bi2AsIr | PBE | relaxed

a = 7.118 Å, b = 7.118 Å, c = 7.118 Å
α = 90.00°, β = 90.00°, γ = 90.00°
Element x y z (fractional)
Bi: 0.000 0.000 0.000
Bi: 0.000 0.500 0.500
Bi: 0.250 0.250 0.250
Bi: 0.250 0.750 0.750
Bi: 0.500 0.000 0.500
Bi: 0.500 0.500 0.000
Bi: 0.750 0.250 0.750
Bi: 0.750 0.750 0.250
As: 0.000 0.000 0.500
As: 0.000 0.500 0.000
As: 0.500 0.000 0.000
As: 0.500 0.500 0.500
Ir: 0.250 0.250 0.750
Ir: 0.250 0.750 0.250
Ir: 0.750 0.250 0.250
Ir: 0.750 0.750 0.750

## Properties
Symmetry: F-43m
Volume in Å³ per cell: 360.7
Total DFT energy (no corrections) in eV/cell: -77.19
Total magnetic moment in Bohr magnetons per cell: 0.00